TbTh2Pa: optimized geometry, PBE.

Output
E in eV for the cell shown: -28.3
Magnetic moment in μB per cell: 0.0
N(E_F) in states/eV/f.u.: 9.33
Space-group type: P4/mmm, No. 123
Excess energy over the best structure of this formula in the dataset in meV/atom: 85.5
Formation energy from the elements in kJ per mole of atoms: 16.3

Cell: 4.7970 5.0003 5.0003 Å, 90.00 90.00 90.00°
Closest atoms and distances in Å follow each position.
Element x y z (fractional)
Pa 0.5000 0.5000 0.5000  8 Th 3.46, 4 Tb 3.54
Th 0.0000 0.0000 0.5000  4 Tb 3.46, 4 Pa 3.46, 4 Th 3.54
Th 0.0000 0.5000 0.0000  4 Tb 3.46, 4 Pa 3.46, 4 Th 3.54
Tb 0.5000 0.0000 0.0000  8 Th 3.46, 4 Pa 3.54